# 1
The following is a GGA-PBE calculation of a relaxed structure of CoRe2Ir, from Alexandria.

Properties
E above lowest polymorph: 0.335 eV/atom
Formation energy: 0.72 eV per formula unit

a b c (Å): 3.1399 3.1399 5.6578
angles (deg): 90.00 90.00 90.00
Space group P4mm (No. 99)
Asymmetric unit:
Co 0.0000 0.0000 0.0000 [1 per cell]
Re 0.0000 0.0000 0.5249 [1 per cell]
Re 0.5000 0.5000 0.7957 [1 per cell]
Ir 0.5000 0.5000 0.2470 [1 per cell]

---

# 2
The following is a GGA-PBE calculation of a relaxed structure of CoRe2Ir, from Alexandria.

Properties
E above lowest polymorph: 0.146 eV/atom
Formation energy: -0.04 eV per formula unit

a b c (Å): 2.7062 2.7062 7.5750
angles (deg): 90.00 90.00 90.00
Space group P4mm (No. 99)
Asymmetric unit:
Co 0.0000 0.0000 0.0000 [1 per cell]
Re 0.0000 0.0000 0.4998 [1 per cell]
Re 0.5000 0.5000 0.7819 [1 per cell]
Ir 0.5000 0.5000 0.2559 [1 per cell]

---

> Among the records above, which one has the lowest E above lowest polymorph?

number 2

---

> Which value of E above lowest polymorph does entry 2 give?

0.146 eV/atom

---

> Which formula does entry 1 have?

CoRe2Ir